# CsY2S2 | Alexandria | PBEsol | optimized geometry
# density of states at the Fermi level: 0.718 states/eV/atom
# raw formation energy: -1267 meV/atom
data_CsY2S2
_cell_length_a 5.0898
_cell_length_b 5.0898
_cell_length_c 11.3524
_cell_angle_alpha 90.00
_cell_angle_beta 90.00
_cell_angle_gamma 90.00
_space_group_name_H-M_alt 'I 4/m m m'
_space_group_IT_number 139
_space_group_name_Hall '-I 4 2'
loop_
_atom_site_label
_atom_site_fract_x
_atom_site_fract_y
_atom_site_fract_z
Cs1 0.0000 0.0000 0.0000
Y1 0.0000 0.0000 0.3337
S1 0.0000 0.5000 0.2500